VASP calculation (PBE-GGA) on an optimized crystal structure of Ba2SnN.

Summary:
**Uncorrected formation energy**: -209.9 meV/atom
**N(E_F)**: 3.34 states/eV/f.u.
**Total magnetic moment**: 0.000 μB/f.u.

abc: 3.9264 3.9264 30.6988
angles: 90.00 90.00 120.00
Last column: nearest neighbours and their distance in Å.
Fractional positions:
Ba (0.0000, 0.0000, 0.1169)  3 N 2.73
Ba (0.0000, 0.0000, 0.8831)  3 N 2.73
Ba (0.3333, 0.6667, 0.5497)  3 N 2.73
Ba (0.3333, 0.6667, 0.7836)  3 N 2.73
Ba (0.6667, 0.3333, 0.2164)  3 N 2.73
Ba (0.6667, 0.3333, 0.4503)  3 N 2.73
Sn (0.0000, 0.0000, 0.0000)  2 Ba 3.59, 6 Sn 3.93
Sn (0.3333, 0.6667, 0.6667)  2 Ba 3.59, 6 Sn 3.93
Sn (0.6667, 0.3333, 0.3333)  2 Ba 3.59, 6 Sn 3.93
N (0.0000, 0.0000, 0.5000)  6 Ba 2.73
N (0.3333, 0.6667, 0.1667)  6 Ba 2.73
N (0.6667, 0.3333, 0.8333)  6 Ba 2.73



VASP calculation (PBE-GGA) on an optimized crystal structure of TbEr2Sc3P6.

Summary:
**VASP energy**: -6.9713 eV/atom
**N(E_F)**: 2.05 states/eV/f.u.
**Total magnetic moment**: 0.000 μB/f.u.

abc: 6.7171 6.7171 6.6964
angles: 99.61 99.61 120.00
Last column: nearest neighbours and their distance in Å.
Fractional positions:
Tb (0.0000, 0.0000, 0.0000)  6 P 2.80
Er (0.3332, 0.6668, 0.0000)  6 P 2.79
Er (0.6668, 0.3332, 0.0000)  6 P 2.79
Sc (0.1662, 0.8338, 0.5000)  6 P 2.68-2.69
Sc (0.5000, 0.5000, 0.5000)  6 P 2.68-2.69
Sc (0.8338, 0.1662, 0.5000)  6 P 2.68-2.69
P (0.0881, 0.4235, 0.2642)  3 Sc 2.68-2.69, 2 Er 2.79, 1 Tb 2.80
P (0.2475, 0.2475, 0.7360)  3 Sc 2.68-2.69, 2 Er 2.79, 1 Tb 2.80
P (0.4235, 0.0881, 0.2642)  3 Sc 2.68-2.69, 2 Er 2.79, 1 Tb 2.80
P (0.5765, 0.9119, 0.7358)  3 Sc 2.68-2.69, 2 Er 2.79, 1 Tb 2.80
P (0.7525, 0.7525, 0.2640)  3 Sc 2.68-2.69, 2 Er 2.79, 1 Tb 2.80
P (0.9119, 0.5765, 0.7358)  3 Sc 2.68-2.69, 2 Er 2.79, 1 Tb 2.80



VASP calculation (PBE-GGA) on an optimized crystal structure of CoSn3.

Summary:
**VASP energy**: -4.8359 eV/atom
**N(E_F)**: 1.93 states/eV/f.u.
**Total magnetic moment**: 0.000 μB/f.u.

abc: 17.6333 17.6333 17.6333
angles: 159.45 159.45 29.22
Last column: nearest neighbours and their distance in Å.
Fractional positions:
Co (0.0852, 0.8352, 0.2500)  8 Sn 2.72-2.73, 1 Co 2.72
Co (0.1648, 0.9148, 0.2500)  8 Sn 2.72-2.73, 1 Co 2.72
Co (0.3352, 0.5852, 0.7500)  8 Sn 2.72-2.73, 1 Co 2.72
Co (0.4148, 0.6648, 0.7500)  8 Sn 2.72-2.73, 1 Co 2.72
Co (0.5852, 0.3352, 0.2500)  8 Sn 2.72-2.73, 1 Co 2.72
Co (0.6648, 0.4148, 0.2500)  8 Sn 2.72-2.73, 1 Co 2.72
Co (0.8352, 0.0852, 0.7500)  8 Sn 2.72-2.73, 1 Co 2.72
Co (0.9148, 0.1648, 0.7500)  8 Sn 2.72-2.73, 1 Co 2.72
Sn (0.0244, 0.6403, 0.7494)  2 Co 2.72-2.73, 1 Sn 3.01
Sn (0.0385, 0.7885, 0.5770)  4 Co 2.72, 1 Sn 2.91
Sn (0.1091, 0.8597, 0.8841)  2 Co 2.72-2.73, 1 Sn 3.01
Sn (0.1403, 0.5244, 0.2494)  2 Co 2.72-2.73, 1 Sn 3.01
Sn (0.2115, 0.2885, 0.2500)  4 Co 2.72, 1 Sn 2.91
Sn (0.2250, 0.1091, 0.7494)  2 Co 2.72-2.73, 1 Sn 3.01
Sn (0.2750, 0.0244, 0.8841)  2 Co 2.72-2.73, 1 Sn 3.01
Sn (0.2885, 0.5385, 0.0770)  4 Co 2.72, 1 Sn 2.91
Sn (0.3597, 0.6091, 0.3841)  2 Co 2.72-2.73, 1 Sn 3.01
Sn (0.3909, 0.2750, 0.7506)  2 Co 2.72-2.73, 1 Sn 3.01
Sn (0.4615, 0.0385, 0.7500)  4 Co 2.72, 1 Sn 2.91
Sn (0.4756, 0.2250, 0.6159)  2 Co 2.72-2.73, 1 Sn 3.01
Sn (0.5244, 0.7750, 0.3841)  2 Co 2.72-2.73, 1 Sn 3.01
Sn (0.5385, 0.9615, 0.2500)  4 Co 2.72, 1 Sn 2.91
Sn (0.6091, 0.7250, 0.2494)  2 Co 2.72-2.73, 1 Sn 3.01
Sn (0.6403, 0.3909, 0.6159)  2 Co 2.72-2.73, 1 Sn 3.01
Sn (0.7115, 0.4615, 0.9230)  4 Co 2.72, 1 Sn 2.91
Sn (0.7250, 0.9756, 0.1159)  2 Co 2.72-2.73, 1 Sn 3.01
Sn (0.7750, 0.8909, 0.2506)  2 Co 2.72-2.73, 1 Sn 3.01
Sn (0.7885, 0.7115, 0.7500)  4 Co 2.72, 1 Sn 2.91
Sn (0.8597, 0.4756, 0.7506)  2 Co 2.72-2.73, 1 Sn 3.01
Sn (0.8909, 0.1403, 0.1159)  2 Co 2.72-2.73, 1 Sn 3.01
Sn (0.9615, 0.2115, 0.4230)  4 Co 2.72, 1 Sn 2.91
Sn (0.9756, 0.3597, 0.2506)  2 Co 2.72-2.73, 1 Sn 3.01



VASP calculation (PBE-GGA) on an optimized crystal structure of PaP2.

Summary:
**VASP energy**: -7.8162 eV/atom
**N(E_F)**: 1.14 states/eV/f.u.
**Total magnetic moment**: 0.000 μB/f.u.

abc: 3.8768 3.8768 15.4440
angles: 90.00 90.00 90.00
Last column: nearest neighbours and their distance in Å.
Fractional positions:
Pa (0.0000, 0.0000, 0.1365)  9 P 2.82-2.86
Pa (0.0000, 0.0000, 0.8635)  9 P 2.82-2.86
Pa (0.5000, 0.5000, 0.3635)  9 P 2.82-2.86
Pa (0.5000, 0.5000, 0.6365)  9 P 2.82-2.86
P (0.0000, 0.0000, 0.3190)  5 Pa 2.82-2.83
P (0.0000, 0.0000, 0.6810)  5 Pa 2.82-2.83
P (0.0000, 0.5000, 0.0000)  4 P 2.74, 4 Pa 2.86
P (0.0000, 0.5000, 0.5000)  4 P 2.74, 4 Pa 2.86
P (0.5000, 0.0000, 0.0000)  4 P 2.74, 4 Pa 2.86
P (0.5000, 0.0000, 0.5000)  4 P 2.74, 4 Pa 2.86
P (0.5000, 0.5000, 0.1810)  5 Pa 2.82-2.83
P (0.5000, 0.5000, 0.8190)  5 Pa 2.82-2.83



VASP calculation (PBE-GGA) on an optimized crystal structure of Pm2NdDy7.

Summary:
**N(E_F)**: 17.10 states/eV/f.u.
**Offset from the most stable computed form**: 0 meV/atom
**Total magnetic moment**: 0.000 μB/f.u.

abc: 14.8313 14.8313 3.5123
angles: 90.00 90.00 154.54
Last column: nearest neighbours and their distance in Å.
Fractional positions:
Pm (0.2072, 0.7928, 0.0000)  2 Pm 3.51, 8 Dy 3.53-3.76
Pm (0.7928, 0.2072, 0.0000)  2 Pm 3.51, 8 Dy 3.53-3.76
Nd (0.5000, 0.5000, 0.5000)  2 Nd 3.51, 12 Dy 3.71-3.73
Dy (0.0000, 0.0000, 0.0000)  6 Dy 3.31-3.51
Dy (0.1532, 0.3514, 0.0000)  7 Dy 3.24-3.51, 1 Pm 3.53
Dy (0.3139, 0.6861, 0.5000)  6 Dy 3.47-3.51, 6 Pm 3.55-3.76
Dy (0.3514, 0.1532, 0.0000)  7 Dy 3.24-3.51, 1 Pm 3.53
Dy (0.6486, 0.8468, 0.0000)  7 Dy 3.24-3.51, 1 Pm 3.53
Dy (0.6861, 0.3139, 0.5000)  6 Dy 3.47-3.51, 6 Pm 3.55-3.76
Dy (0.8468, 0.6486, 0.0000)  7 Dy 3.24-3.51, 1 Pm 3.53



VASP calculation (PBE-GGA) on an optimized crystal structure of Hg6Te3Cl2.

Summary:
**Uncorrected formation energy**: -138.3 meV/atom
**Total magnetic moment**: 0.000 μB/f.u.

abc: 6.6542 6.6542 19.0936
angles: 90.42 90.42 91.69
Last column: nearest neighbours and their distance in Å.
Fractional positions:
Hg (0.0713, 0.4914, 0.1024)  1 Cl 2.50, 1 Te 2.70
Hg (0.1618, 0.6454, 0.4196)  2 Hg 2.97-3.11
Hg (0.1746, 0.6870, 0.5969)  3 Hg 3.11-3.39
Hg (0.3130, 0.8254, 0.9031)  3 Hg 3.11-3.39
Hg (0.3546, 0.8382, 0.0804)  2 Hg 2.97-3.11
Hg (0.4914, 0.0713, 0.6024)  1 Cl 2.50, 1 Te 2.70
Hg (0.5086, 0.9287, 0.3976)  1 Cl 2.50, 1 Te 2.70
Hg (0.6454, 0.1618, 0.9196)  2 Hg 2.97-3.11
Hg (0.6870, 0.1746, 0.0969)  3 Hg 3.11-3.39
Hg (0.8254, 0.3130, 0.4031)  3 Hg 3.11-3.39
Hg (0.8382, 0.3546, 0.5804)  2 Hg 2.97-3.11
Hg (0.9287, 0.5086, 0.8976)  1 Cl 2.50, 1 Te 2.70
Te (0.0350, 0.4445, 0.7632)  1 Hg 2.70, 1 Te 2.75
Te (0.0366, 0.9634, 0.2500)  2 Te 2.75
Te (0.4445, 0.0350, 0.2632)  1 Hg 2.70, 1 Te 2.75
Te (0.5555, 0.9650, 0.7368)  1 Hg 2.70, 1 Te 2.75
Te (0.9634, 0.0366, 0.7500)  2 Te 2.75
Te (0.9650, 0.5555, 0.2368)  1 Hg 2.70, 1 Te 2.75
Cl (0.1887, 0.2978, 0.9987)  1 Hg 2.50
Cl (0.2978, 0.1887, 0.4987)  1 Hg 2.50
Cl (0.7022, 0.8113, 0.5013)  1 Hg 2.50
Cl (0.8113, 0.7022, 0.0013)  1 Hg 2.50



VASP calculation (PBE-GGA) on an optimized crystal structure of Sm7Y2.

Summary:
**VASP energy**: -5.0925 eV/atom
**N(E_F)**: 11.76 states/eV/f.u.
**Total magnetic moment**: 0.000 μB/f.u.

abc: 6.2646 6.2646 8.8459
angles: 90.00 90.00 120.00
Last column: nearest neighbours and their distance in Å.
Fractional positions:
Sm (0.0000, 0.0000, 0.0000)  6 Sm 3.60, 6 Y 3.62
Sm (0.0000, 0.3329, 0.6677)  10 Sm 3.60-3.63, 2 Y 3.61
Sm (0.0000, 0.6671, 0.3323)  10 Sm 3.60-3.63, 2 Y 3.61
Sm (0.3329, 0.0000, 0.6677)  10 Sm 3.60-3.63, 2 Y 3.61
Sm (0.3329, 0.3329, 0.3323)  10 Sm 3.60-3.63, 2 Y 3.61
Sm (0.6671, 0.0000, 0.3323)  10 Sm 3.60-3.63, 2 Y 3.61
Sm (0.6671, 0.6671, 0.6677)  10 Sm 3.60-3.63, 2 Y 3.61
Y (0.3333, 0.6667, 0.0000)  9 Sm 3.61-3.62, 3 Y 3.62
Y (0.6667, 0.3333, 0.0000)  9 Sm 3.61-3.62, 3 Y 3.62



VASP calculation (PBE-GGA) on an optimized crystal structure of Ac4Bi2Pd.

Summary:
**VASP energy**: -4.7861 eV/atom
**N(E_F)**: 5.54 states/eV/f.u.
**Total magnetic moment**: 0.000 μB/f.u.

abc: 5.6108 5.6108 18.1535
angles: 90.00 90.00 90.00
Last column: nearest neighbours and their distance in Å.
Fractional positions:
Ac (0.0000, 0.0000, 0.1760)  1 Pd 3.20, 1 Bi 3.43
Ac (0.0000, 0.0000, 0.8240)  1 Pd 3.20, 1 Bi 3.43
Ac (0.0000, 0.5000, 0.0000)  2 Pd 2.81
Ac (0.0000, 0.5000, 0.5000)  2 Pd 2.81
Ac (0.5000, 0.0000, 0.0000)  2 Pd 2.81
Ac (0.5000, 0.0000, 0.5000)  2 Pd 2.81
Ac (0.5000, 0.5000, 0.3240)  1 Pd 3.20, 1 Bi 3.43
Ac (0.5000, 0.5000, 0.6760)  1 Pd 3.20, 1 Bi 3.43
Bi (0.0000, 0.0000, 0.3648)  5 Ac 3.43-3.73
Bi (0.0000, 0.0000, 0.6352)  5 Ac 3.43-3.73
Bi (0.5000, 0.5000, 0.1352)  5 Ac 3.43-3.73
Bi (0.5000, 0.5000, 0.8648)  5 Ac 3.43-3.73
Pd (0.0000, 0.0000, 0.0000)  4 Ac 2.81
Pd (0.5000, 0.5000, 0.5000)  4 Ac 2.81